First-principles (PBE) data for an optimized crystal structure of Ti2CrTe4, as listed in Alexandria via LeMat-Bulk.

Cell lengths 7.413, 7.413, 6.989 Å; angles 117.38, 117.38, 30.27 degrees
Atoms (fractional coordinates):
Ti 0.000 0.000 0.000
Ti 0.246 0.246 0.286
Cr 0.500 0.500 0.583
Te 0.138 0.138 0.833
Te 0.359 0.359 0.737
Te 0.612 0.612 0.325
Te 0.882 0.882 0.256

Output
Space-group type: No. 8
Relative energy among the computed polymorphs (eV/atom): 0.028
Calculated total energy (eV/cell): -41.63
Formation energy from raw total energies (meV/atom): -522.0